Entry 1:
Computed, not measured: a relaxed structure of La2Zn3CoCu12 at the PBE level of DFT.

The structure in POSCAR format:
```
La2Zn3CoCu12
1.0
9.3403 1.8452 1.3088
6.2172 7.2106 1.3088
6.2172 3.6189 6.3725
La Zn Co Cu
2 3 1 12
Direct
0.6534 0.6534 0.6534
0.3466 0.3466 0.3466
0.5000 0.0000 0.0000
0.0000 0.5000 0.0000
0.0000 0.0000 0.5000
0.0000 0.0000 0.0000
0.4200 0.4200 0.8099
0.9346 0.9346 0.3449
0.3449 0.9346 0.9346
0.8099 0.4200 0.4200
0.9346 0.3449 0.9346
0.4200 0.8099 0.4200
0.5800 0.5800 0.1901
0.0654 0.0654 0.6551
0.6551 0.0654 0.0654
0.1901 0.5800 0.5800
0.0654 0.6551 0.0654
0.5800 0.1901 0.5800
```

## Properties
SG: R-3m
crystal system: trigonal

***

Entry 2:
Computed, not measured: a relaxed structure of ErTlNi at the PBE level of DFT.

The structure in POSCAR format:
```
ErTlNi
1.0
-2.6609 2.0276 0.2565
-0.8460 -1.4761 2.8919
4.8391 3.4207 1.2153
Ni Tl Er
1 1 1
Direct
0.2852 0.2852 0.5704
0.6383 0.6383 0.2766
0.9265 0.9265 0.8530
```

## Properties
SG: I4mm
crystal system: tetragonal

***

Entry 3:
Computed, not measured: a relaxed structure of Pm12Y7Er at the PBE level of DFT.

The structure in POSCAR format:
```
Pm12Y7Er
1.0
8.5594 1.1793 1.7701
-1.2472 8.5498 1.7701
-1.2472 -1.6595 8.5719
Pm Y Er
12 7 1
Direct
0.8531 0.2592 0.7280
0.7408 0.2720 0.1469
0.6148 0.1386 0.4912
0.8614 0.5088 0.3852
0.2720 0.1469 0.7408
0.5088 0.3852 0.8614
0.4912 0.6148 0.1386
0.7280 0.8531 0.2592
0.1386 0.4912 0.6148
0.3852 0.8614 0.5088
0.2592 0.7280 0.8531
0.1469 0.7408 0.2720
0.8500 0.6101 0.9324
0.3899 0.0676 0.1500
0.0676 0.1500 0.3899
0.5000 0.5000 0.5000
0.9324 0.8500 0.6101
0.6101 0.9324 0.8500
0.1500 0.3899 0.0676
0.0000 0.0000 0.0000
```

## Properties
SG: R-3
crystal system: trigonal

***

Per-record DOS(E_F), states/eV per cell: 10.0 2.3 39.8
Per-record raw total energy, eV per atom: -3.74 -4.41 -5.12